(1)
{
  "formula": "AlCu2Ru",
  "functional": "PBE",
  "state": "optimized geometry",
  "lattice_angstrom": [[2.644, -0.037, 0.000], [-1.184, 2.364, 0.000], [0.000, 0.000, 8.671]],
  "species": ["Ru", "Cu", "Al", "Cu"],
  "frac_coords": [[0.500, 0.500, 0.250], [0.000, 0.000, 0.992], [0.500, 0.500, 0.750], [0.000, 0.000, 0.508]],
  "ef_kj_per_mol_fu": 59,
  "spacegroup": "Cmmm"
}

---

(2)
{
  "formula": "HgBiSe2N",
  "functional": "PBE",
  "state": "optimized geometry",
  "lattice_angstrom": [[5.438, 0.000, 0.000], [0.000, 5.438, 0.000], [0.000, 0.000, 4.117]],
  "species": ["Se", "Se", "N", "Hg", "Bi"],
  "frac_coords": [[0.000, 0.500, 0.000], [0.500, 0.000, 0.000], [0.000, 0.000, 0.500], [0.000, 0.000, 0.000], [0.500, 0.500, 0.500]],
  "raw_formation_energy_ev_per_fu": 4.9,
  "de_polymorph_mev_per_atom": 29,
  "spacegroup": "P4/mmm"
}

---

(3)
{
  "formula": "ErTm2Th3Bi6",
  "functional": "PBE",
  "state": "optimized geometry",
  "lattice_angstrom": [[-3.272, -3.112, 0.271], [1.383, -0.683, 8.876], [-5.162, 8.646, -0.791]],
  "species": ["Bi", "Bi", "Bi", "Th", "Tm", "Bi", "Bi", "Th", "Tm", "Er", "Th", "Bi"],
  "frac_coords": [[0.330, 0.424, 0.661], [0.003, 0.243, 0.007], [0.997, 0.757, 0.993], [0.834, 0.167, 0.668], [0.833, 0.667, 0.667], [0.664, 0.091, 0.328], [0.336, 0.909, 0.672], [0.166, 0.833, 0.332], [0.167, 0.333, 0.333], [0.500, 0.000, 0.000], [0.500, 0.500, 0.000], [0.670, 0.576, 0.339]],
  "ef_kj_per_mol_fu": -778,
  "spacegroup": "C2/m"
}

---

(4)
{
  "formula": "MnAsPt3",
  "functional": "PBE",
  "state": "optimized geometry",
  "lattice_angstrom": [[4.657, 0.000, 0.000], [0.000, 4.657, 0.000], [0.000, 0.000, 4.657]],
  "species": ["As", "Pt", "Mn", "Pt", "Pt"],
  "frac_coords": [[0.000, 0.000, 0.000], [0.000, 0.500, 0.000], [0.500, 0.500, 0.500], [0.500, 0.000, 0.000], [0.000, 0.000, 0.500]],
  "de_polymorph_mev_per_atom": 0,
  "ef_kj_per_mol_fu": 210,
  "spacegroup": "Pm-3m"
}

---

(5)
{
  "formula": "CuIr2Br",
  "functional": "PBE",
  "state": "optimized geometry",
  "lattice_angstrom": [[-0.058, -2.532, 0.882], [3.494, -0.564, -1.391], [3.148, 2.351, 6.953]],
  "species": ["Ir", "Ir", "Br", "Cu"],
  "frac_coords": [[0.000, 0.000, 0.009], [0.500, 0.500, 0.136], [0.000, 0.000, 0.548], [0.500, 0.500, 0.807]],
  "raw_formation_energy_ev_per_fu": 2.3,
  "de_polymorph_mev_per_atom": 118,
  "spacegroup": "Pmm2"
}

---

(6)
{
  "formula": "AcLa3Pt8",
  "functional": "PBE",
  "state": "optimized geometry",
  "lattice_angstrom": [[-3.828, 4.008, -0.590], [0.157, -3.038, 4.671], [5.810, 6.105, 3.775]],
  "species": ["La", "Pt", "Pt", "Pt", "La", "La", "Pt", "Ac", "Pt", "Pt", "Pt", "Pt"],
  "frac_coords": [[0.000, 0.000, 0.939], [0.333, 0.667, 0.500], [0.998, 0.499, 0.753], [0.166, 0.332, 0.248], [0.667, 0.333, 0.430], [0.667, 0.333, 0.062], [0.668, 0.834, 0.248], [0.000, 0.000, 0.566], [0.501, 0.002, 0.753], [0.166, 0.834, 0.248], [0.501, 0.499, 0.753], [0.333, 0.667, 0.000]],
  "ef_kj_per_mol_fu": -1173,
  "spacegroup": "P3m1"
}

---

(7)
{
  "formula": "TiCd2Pd",
  "functional": "PBE",
  "state": "optimized geometry",
  "lattice_angstrom": [[-0.952, -3.013, 3.024], [3.990, -0.929, 0.330], [0.415, 2.830, 2.951]],
  "species": ["Cd", "Ti", "Cd", "Pd"],
  "frac_coords": [[0.000, 0.000, 0.500], [0.500, 0.000, 0.000], [0.000, 0.500, 0.000], [0.500, 0.500, 0.500]],
  "ef_kj_per_mol_fu": -41,
  "spacegroup": "P4/mmm"
}

---

(8)
{
  "formula": "Ac2PuSe2O2",
  "functional": "PBE",
  "state": "optimized geometry",
  "lattice_angstrom": [[-1.653, -1.930, -3.674], [3.698, -2.479, -0.362], [-4.468, -3.609, 6.622]],
  "species": ["Pu", "O", "Ac", "Se", "Ac", "O", "Se"],
  "frac_coords": [[0.000, 0.000, 0.000], [0.000, 0.500, 0.000], [0.370, 0.370, 0.739], [0.178, 0.178, 0.356], [0.630, 0.630, 0.261], [0.500, 0.000, 0.000], [0.822, 0.822, 0.644]],
  "raw_formation_energy_ev_per_fu": -16.3,
  "spacegroup": "I4/mmm"
}

---

(9)
{
  "formula": "Pm6In3Ru",
  "functional": "PBE",
  "state": "optimized geometry",
  "lattice_angstrom": [[5.399, 0.000, 0.000], [0.000, 8.969, -2.898], [0.000, 0.088, 11.619]],
  "species": ["In", "Pm", "Pm", "Pm", "Pm", "In", "In", "Pm", "Pm", "Pm", "In", "Pm", "Pm", "Pm", "Pm", "In", "Pm", "Ru", "Ru", "In"],
  "frac_coords": [[0.250, 0.512, 0.378], [0.250, 0.101, 0.855], [0.250, 0.124, 0.150], [0.750, 0.149, 0.672], [0.750, 0.309, 0.335], [0.750, 0.593, 0.219], [0.250, 0.770, 0.974], [0.250, 0.851, 0.328], [0.750, 0.784, 0.502], [0.250, 0.691, 0.665], [0.750, 0.230, 0.026], [0.750, 0.876, 0.850], [0.250, 0.216, 0.498], [0.750, 0.542, 0.915], [0.250, 0.458, 0.085], [0.250, 0.407, 0.781], [0.750, 0.899, 0.145], [0.250, 0.963, 0.594], [0.750, 0.037, 0.406], [0.750, 0.488, 0.622]],
  "ef_kj_per_mol_fu": -317,
  "spacegroup": "P2_1/m"
}

---

(10)
{
  "formula": "La2TbHoTe5",
  "functional": "PBE",
  "state": "optimized geometry",
  "lattice_angstrom": [[-2.470, 2.379, 4.358], [-4.881, -0.272, -2.618], [-1.895, -10.417, 4.613]],
  "species": ["Te", "La", "Te", "Te", "Tb", "Te", "Ho", "La", "Te"],
  "frac_coords": [[0.500, 0.000, 0.500], [0.500, 0.500, 0.673], [0.500, 0.500, 0.000], [0.000, 0.000, 0.244], [0.000, 0.000, 0.500], [0.000, 0.000, 0.756], [0.000, 0.000, 0.000], [0.500, 0.500, 0.327], [0.000, 0.500, 0.500]],
  "raw_formation_energy_ev_per_fu": -8.4,
  "spacegroup": "P4/mmm"
}

---

(11)
{
  "formula": "SrMn2Tl",
  "functional": "PBE",
  "state": "optimized geometry",
  "lattice_angstrom": [[4.660, 0.000, 0.000], [0.000, 4.663, 0.000], [0.000, 0.000, 4.514]],
  "species": ["Mn", "Mn", "Tl", "Sr"],
  "frac_coords": [[0.500, 0.500, 0.000], [0.000, 0.000, 0.000], [0.000, 0.500, 0.500], [0.500, 0.000, 0.500]],
  "de_polymorph_mev_per_atom": 153,
  "ef_kj_per_mol_fu": 209,
  "spacegroup": "P4/mmm"
}

---

(12)
{
  "formula": "RbSi3I",
  "functional": "PBE",
  "state": "optimized geometry",
  "lattice_angstrom": [[-3.735, -2.103, 3.481], [-3.308, -1.178, -4.261], [2.365, -4.967, -0.463]],
  "species": ["Rb", "Si", "Si", "Si", "I"],
  "frac_coords": [[0.500, 0.500, 0.500], [0.000, 0.500, 0.000], [0.500, 0.000, 0.000], [0.000, 0.000, 0.500], [0.000, 0.000, 0.000]],
  "raw_formation_energy_ev_per_fu": 6.1,
  "de_polymorph_mev_per_atom": 0,
  "spacegroup": "Pm-3m"
}